A geometry-optimized Hf2ZrHgH structure. Source: Alexandria, functional PBE-GGA.

Values from the calculation:
Uncorrected energy, eV/cell: -33.19
N(E_F), states/eV/f.u.: 1.36
Total moment, μB per cell: 0.0

Lattice parameters (Å, degrees): 4.426 4.426 4.440 90.00 90.00 90.00
Element x y z (fractional)
Hf  0.000  0.500  0.000
Hf  0.500  0.000  0.000
Zr  0.000  0.000  0.500
Hg  0.500  0.500  0.500
H  0.000  0.000  0.000